Entry 1:
Compound: Eu2PtAu
Source: Alexandria via LeMat-Bulk
Functional: GGA-PBE
Structure: optimized geometry

Cell and atoms, written as POSCAR:
```
Eu2PtAu
1.0
5.1757 0.0000 0.0000
2.5879 4.4823 0.0000
2.5879 1.4941 4.2260
Eu Pt Au
2 1 1
Cartesian
2.5879 1.4941 1.0565
7.7636 4.4823 3.1695
5.1757 2.9882 2.1130
0.0000 0.0000 0.0000
```

## Properties
For the spin magnetization, the calculation gives 3.558 μB/atom. The total DFT energy (no corrections) is -33.27 eV per cell. The energy relative to the elements comes out at -0.852 eV/atom. Its space group is No. 225. Its crystal system is cubic. As for the density of states at the Fermi level: 4.41 states/eV/atom. For the energy above the most stable polymorph in this dataset, the calculation gives 5 meV/atom. For the theoretical density, the calculation gives 11.8 Mg/m³.

---

Entry 2:
Compound: CsZn2InI6
Source: Alexandria via LeMat-Bulk
Functional: GGA-PBE
Structure: optimized geometry

Cell and atoms, written as POSCAR:
```
CsZn2InI6
1.0
10.2281 -1.2004 0.2176
-2.4436 10.0042 0.2176
-2.0515 -2.3201 10.6946
I Zn Cs In
12 4 2 2
Cartesian
0.3373 0.2673 6.6405
3.0974 0.5615 10.0348
0.8787 7.0559 7.6497
5.3958 6.2165 4.4893
1.2497 1.5276 1.2932
-2.1879 3.5878 8.8274
4.5293 2.1809 6.4423
1.2038 4.3029 4.6875
7.9210 2.8960 2.3024
4.4834 4.9562 9.8366
4.8544 -0.5722 3.4801
2.6357 5.9223 1.0950
3.5101 7.2430 3.1148
0.0001 3.2734 2.6677
2.2230 -0.7592 8.0150
5.7330 3.2104 8.4621
-1.0210 7.7129 2.8913
6.7542 -1.2291 8.2385
1.7694 3.1785 8.2385
3.9638 3.3052 2.8913
```

## Properties
For the spin magnetization, the calculation gives 0.000 μB/atom. The total DFT energy (no corrections) is -45.14 eV per cell. Its space group is No. 15. Its crystal system is monoclinic. Its uncorrected formation energy is -0.713 eV/atom. As for the density of states at the Fermi level: 0.00 states/eV/atom. For the theoretical density, the calculation gives 3.5 Mg/m³.